Entry from the Alexandria database: a relaxed Tb5Y2Er4 crystal (PBE).

Properties
ΔH_f (0 K)   0.14 eV per atom
D(E_F)   36.521 states/eV/cell
Uncorrected energy   -52.79 eV per formula unit
ΔE to the lowest computed polymorph   0.000 eV per atom

Lattice parameters (Å, degrees): 10.9938 7.2946 9.1609 90.00 106.73 90.00
Space group C2/m (No. 12)
Inequivalent atoms, fractional coordinates:
Tb 0.0000 0.0000 0.0000 x2
Tb 0.0694 0.2799 0.2732 x8
Y 0.1453 0.0000 0.6219 x4
Er 0.1654 0.5000 0.6182 x4
Er 0.1870 0.5000 0.9966 x4


Entry from the Alexandria database: a relaxed Tb2YEr crystal (PBE).

Properties
ΔH_f (0 K)   0.02 eV per atom
D(E_F)   17.177 states/eV/cell
Uncorrected energy   -20.21 eV per formula unit
ΔE to the lowest computed polymorph   0.012 eV per atom

Lattice parameters (Å, degrees): 3.5513 3.5513 34.6926 90.00 90.00 120.00
Space group R-3m (No. 166, hexagonal axes)
Inequivalent atoms, fractional coordinates:
Tb 0.0000 0.0000 0.2493 x6
Y 0.0000 0.0000 0.0000 x3
Er 0.0000 0.0000 0.5000 x3


Entry from the Alexandria database: a relaxed Tb2YEr crystal (PBE).

Properties
ΔH_f (0 K)   0.02 eV per atom
D(E_F)   5.245 states/eV/cell
Uncorrected energy   -20.21 eV per formula unit
ΔE to the lowest computed polymorph   0.012 eV per atom

Lattice parameters (Å, degrees): 3.5492 3.5492 10.0457 90.00 90.00 90.00
Space group P4/mmm (No. 123)
Inequivalent atoms, fractional coordinates:
Tb 0.0000 0.0000 0.2474 x2
Y 0.5000 0.5000 0.5000 x1
Er 0.5000 0.5000 0.0000 x1


Entry from the Alexandria database: a relaxed TbYEr4 crystal (PBE).

Properties
ΔH_f (0 K)   0.15 eV per atom
D(E_F)   39.256 states/eV/cell
Uncorrected energy   -28.47 eV per formula unit
ΔE to the lowest computed polymorph   0.124 eV per atom

Lattice parameters (Å, degrees): 8.7127 14.5537 6.4299 90.00 110.19 90.00
Space group C2/c (No. 15)
Inequivalent atoms, fractional coordinates:
Tb 0.0000 0.0009 0.2500 x4
Y 0.0000 0.4139 0.7500 x4
Er 0.0933 0.1954 0.0334 x8
Er 0.2030 0.3695 0.3776 x8